{
  "formula": "Dy2Ga9Ir3",
  "functional": "SCAN",
  "state": "PBEsol geometry",
  "lattice_angstrom": [[6.4609, -3.7462, 0.0000], [6.4609, 3.7462, 0.0000], [0.0000, 0.0000, 9.3694]],
  "species": ["Dy", "Dy", "Dy", "Dy", "Ga", "Ga", "Ga", "Ga", "Ga", "Ga", "Ga", "Ga", "Ga", "Ga", "Ga", "Ga", "Ga", "Ga", "Ga", "Ga", "Ga", "Ga", "Ir", "Ir", "Ir", "Ir", "Ir", "Ir"],
  "fractional_positions": [[0.0026, 0.6697, 0.7500], [0.3303, 0.9974, 0.7500], [0.6697, 0.0026, 0.2500], [0.9974, 0.3303, 0.2500], [0.0000, 0.3348, 0.5804], [0.0000, 0.3348, 0.9196], [0.0000, 0.6652, 0.0804], [0.0000, 0.6652, 0.4196], [0.1299, 0.8701, 0.2500], [0.3325, 0.6675, 0.5664], [0.3325, 0.6675, 0.9336], [0.3348, 0.0000, 0.0804], [0.3348, 0.0000, 0.4196], [0.3391, 0.4536, 0.2500], [0.4536, 0.3391, 0.7500], [0.5464, 0.6609, 0.2500], [0.6609, 0.5464, 0.7500], [0.6652, 0.0000, 0.5804], [0.6652, 0.0000, 0.9196], [0.6675, 0.3325, 0.0664], [0.6675, 0.3325, 0.4336], [0.8701, 0.1299, 0.7500], [0.0000, 0.0000, 0.0000], [0.0000, 0.0000, 0.5000], [0.3285, 0.3285, 0.0000], [0.3285, 0.3285, 0.5000], [0.6715, 0.6715, 0.0000], [0.6715, 0.6715, 0.5000]],
  "formation_energy_ev_per_atom": -0.809,
  "sg": "No. 63",
  "energy_ev_per_atom": -33.381,
  "dos_ef_per_ev_fu": 3.11,
  "m_tot_mub_per_fu": 0.0
}



{
  "formula": "LiCoSi",
  "functional": "SCAN",
  "state": "PBEsol geometry",
  "lattice_angstrom": [[2.6356, 0.0000, 0.0000], [-1.3178, 2.2825, 0.0000], [0.0000, 0.0000, 6.0719]],
  "species": ["Li", "Co", "Si"],
  "fractional_positions": [[0.0000, 0.0000, 0.0000], [0.3333, 0.6667, 0.3515], [0.6667, 0.3333, 0.6349]],
  "sg": "No. 156",
  "energy_ev_per_atom": -9.839,
  "dos_ef_per_ev_fu": 1.28,
  "e_form_raw_ev_per_atom": 0.0639,
  "m_tot_mub_per_fu": 1.4
}



{
  "formula": "Hf2Sb2Pb4O13",
  "functional": "SCAN",
  "state": "PBEsol geometry",
  "lattice_angstrom": [[-3.7565, 3.7648, 5.3073], [3.7565, -3.7648, 5.3073], [3.7565, 3.7648, -5.3073]],
  "species": ["Hf", "Hf", "Sb", "Sb", "Pb", "Pb", "Pb", "Pb", "O", "O", "O", "O", "O", "O", "O", "O", "O", "O", "O", "O", "O"],
  "fractional_positions": [[0.2491, 0.0000, 0.2491], [0.7509, 0.0000, 0.7509], [0.2497, 0.0004, 0.7507], [0.2497, 0.4990, 0.2493], [0.2546, 0.5022, 0.7524], [0.7490, 0.0009, 0.2520], [0.7490, 0.4970, 0.7480], [0.7498, 0.5022, 0.2476], [0.1798, 0.6798, 0.5000], [0.1826, 0.0774, 0.5121], [0.1826, 0.6705, 0.1052], [0.3147, 0.3265, 0.3905], [0.3147, 0.9241, 0.9882], [0.3178, 0.3178, 0.0000], [0.5653, 0.0774, 0.8948], [0.5653, 0.6705, 0.4879], [0.5813, 0.0813, 0.5000], [0.8790, 0.3790, 0.5000], [0.9246, 0.9246, 0.0000], [0.9359, 0.3265, 0.0118], [0.9359, 0.9241, 0.6095]],
  "sg": "No. 44",
  "energy_ev_per_atom": -29.951,
  "dos_ef_per_ev_fu": 0.00,
  "e_form_raw_ev_per_atom": -2.1418,
  "m_tot_mub_per_fu": 0.0
}



{
  "formula": "Pm2CoCu",
  "functional": "SCAN",
  "state": "PBEsol geometry",
  "lattice_angstrom": [[0.0000, 3.4232, 3.4232], [3.4232, 0.0000, 3.4232], [3.4232, 3.4232, 0.0000]],
  "species": ["Pm", "Pm", "Co", "Cu"],
  "fractional_positions": [[0.2500, 0.2500, 0.2500], [0.7500, 0.7500, 0.7500], [0.0000, 0.0000, 0.0000], [0.5000, 0.5000, 0.5000]],
  "formation_energy_ev_per_atom": -0.100,
  "sg": "No. 225",
  "energy_ev_per_atom": -30.219,
  "dos_ef_per_ev_fu": 3.26,
  "m_tot_mub_per_fu": 0.5
}



{
  "formula": "K2YMg",
  "functional": "SCAN",
  "state": "PBEsol geometry",
  "lattice_angstrom": [[1.9441, -2.9795, 0.0000], [1.9441, 2.9795, 0.0000], [0.0000, 0.0000, 13.3972]],
  "species": ["K", "K", "Y", "Mg"],
  "fractional_positions": [[0.0000, 0.0000, 0.2390], [0.0000, 0.0000, 0.7610], [0.5000, 0.5000, 0.5000], [0.5000, 0.5000, 0.0000]],
  "formation_energy_ev_per_atom": 0.409,
  "sg": "No. 65",
  "energy_ev_per_atom": -11.959,
  "dos_ef_per_ev_fu": 3.44,
  "m_tot_mub_per_fu": 0.3
}



{
  "formula": "YMnCd2",
  "functional": "SCAN",
  "state": "PBEsol geometry",
  "lattice_angstrom": [[0.0000, 3.4536, 3.4536], [3.4536, 0.0000, 3.4536], [3.4536, 3.4536, 0.0000]],
  "species": ["Y", "Mn", "Cd", "Cd"],
  "fractional_positions": [[0.0000, 0.0000, 0.0000], [0.7500, 0.7500, 0.7500], [0.2500, 0.2500, 0.2500], [0.5000, 0.5000, 0.5000]],
  "formation_energy_ev_per_atom": -0.187,
  "sg": "No. 216",
  "energy_ev_per_atom": -26.919,
  "dos_ef_per_ev_fu": 2.31,
  "m_tot_mub_per_fu": 4.6
}



{
  "formula": "In2SeCl",
  "functional": "SCAN",
  "state": "PBEsol geometry",
  "lattice_angstrom": [[4.0974, 0.0000, 0.0000], [0.0000, 4.0974, 0.0000], [0.0000, 0.0000, 6.7007]],
  "species": ["In", "In", "Se", "Cl"],
  "fractional_positions": [[0.0000, 0.0000, 0.0000], [0.5000, 0.5000, 0.4938], [0.5000, 0.5000, 0.9852], [0.0000, 0.0000, 0.4039]],
  "sg": "No. 99",
  "polymorph_energy_ev_per_fu": 0.28,
  "energy_ev_per_atom": -24.272,
  "dos_ef_per_ev_fu": 0.39,
  "e_form_raw_ev_per_atom": -0.5649,
  "m_tot_mub_per_fu": 0.0
}



{
  "formula": "LiHgMo3",
  "functional": "SCAN",
  "state": "PBEsol geometry",
  "lattice_angstrom": [[4.2251, 0.0000, 0.0000], [0.0000, 4.2251, 0.0000], [0.0000, 0.0000, 4.2251]],
  "species": ["Li", "Hg", "Mo", "Mo", "Mo"],
  "fractional_positions": [[0.0000, 0.0000, 0.0000], [0.5000, 0.5000, 0.5000], [0.0000, 0.0000, 0.5000], [0.0000, 0.5000, 0.0000], [0.5000, 0.0000, 0.0000]],
  "formation_energy_ev_per_atom": 1.288,
  "sg": "No. 221",
  "energy_ev_per_atom": -33.755,
  "dos_ef_per_ev_fu": 3.68,
  "m_tot_mub_per_fu": 0.0
}



{
  "formula": "TlAgSe",
  "functional": "SCAN",
  "state": "PBEsol geometry",
  "lattice_angstrom": [[-1.8265, 1.8265, 5.4198], [1.8265, -1.8265, 5.4198], [1.8265, 1.8265, -5.4198]],
  "species": ["Tl", "Ag", "Se"],
  "fractional_positions": [[0.0000, 0.0000, 0.0000], [0.2800, 0.2800, 0.0000], [0.7071, 0.7071, 0.0000]],
  "sg": "No. 107",
  "polymorph_energy_ev_per_fu": 0.69,
  "energy_ev_per_atom": -41.296,
  "dos_ef_per_ev_fu": 0.78,
  "e_form_raw_ev_per_atom": -0.0283,
  "m_tot_mub_per_fu": 0.0
}



{
  "formula": "ZrFe2W",
  "functional": "SCAN",
  "state": "PBEsol geometry",
  "lattice_angstrom": [[2.9151, 0.0000, 0.0000], [0.0000, 4.1612, 0.0000], [-0.9141, 0.0000, 4.6138]],
  "species": ["Zr", "Fe", "Fe", "W"],
  "fractional_positions": [[0.0000, 0.0000, 0.0000], [0.5366, 0.5000, 0.1093], [0.6428, 0.0000, 0.4770], [0.2025, 0.5000, 0.5598]],
  "formation_energy_ev_per_atom": 0.226,
  "sg": "No. 6",
  "energy_ev_per_atom": -33.936,
  "dos_ef_per_ev_fu": 2.46,
  "m_tot_mub_per_fu": 0.0
}



{
  "formula": "Al3Ir",
  "functional": "SCAN",
  "state": "PBEsol geometry",
  "lattice_angstrom": [[4.8627, 0.0000, 0.0000], [0.0000, 4.8627, 0.0000], [0.0000, 0.0000, 4.8627]],
  "species": ["Al", "Al", "Al", "Al", "Al", "Al", "Ir", "Ir"],
  "fractional_positions": [[0.0000, 0.2500, 0.5000], [0.0000, 0.7500, 0.5000], [0.2500, 0.5000, 0.0000], [0.5000, 0.0000, 0.2500], [0.5000, 0.0000, 0.7500], [0.7500, 0.5000, 0.0000], [0.0000, 0.0000, 0.0000], [0.5000, 0.5000, 0.5000]],
  "formation_energy_ev_per_atom": -0.781,
  "sg": "No. 223",
  "energy_ev_per_atom": -24.369,
  "dos_ef_per_ev_fu": 0.50,
  "m_tot_mub_per_fu": 0.0
}



{
  "formula": "LaCdTe2",
  "functional": "SCAN",
  "state": "PBEsol geometry",
  "lattice_angstrom": [[4.0170, 0.0000, 0.0000], [0.0000, 4.0170, 0.0000], [0.0000, 0.0000, 6.9702]],
  "species": ["La", "Cd", "Te", "Te"],
  "fractional_positions": [[0.0000, 0.0000, 0.0000], [0.0000, 0.0000, 0.5000], [0.5000, 0.5000, 0.2419], [0.5000, 0.5000, 0.7581]],
  "sg": "No. 123",
  "energy_ev_per_atom": -37.931,
  "dos_ef_per_ev_fu": 2.01,
  "e_form_raw_ev_per_atom": -0.9257,
  "m_tot_mub_per_fu": 0.0
}